DFT (PBE-GGA) results for a relaxed NaSbTe2Pd crystal.

## Properties
Electronic total energy   -2.519 eV/atom
Symmetry   P4/mmm, No. 123
Magnetic moment   0.0 Bohr magnetons per cell
Uncorrected formation energy   864 meV per atom

a b c (Å): 5.4059 5.4059 5.2903
angles (deg): 90.00 90.00 90.00
Last column: nearest neighbours and their distance in Å.
Fractional positions:
Na (0.0000, 0.0000, 0.0000)  2 Sb 2.65, 4 Te 2.70
Sb (0.0000, 0.0000, 0.5000)  2 Na 2.65
Te (0.0000, 0.5000, 0.0000)  2 Na 2.70
Te (0.5000, 0.0000, 0.0000)  2 Na 2.70
Pd (0.5000, 0.5000, 0.5000)  8 Te 3.78, 4 Sb 3.82

***

DFT (PBE-GGA) results for a relaxed MnZnIn crystal.

## Properties
Energy of formation   0.14 eV/atom
Electronic total energy   -4.249 eV/atom
Symmetry   Pmmn, No. 59
Magnetic moment   0.0 Bohr magnetons per cell

a b c (Å): 3.8898 4.0746 6.7844
angles (deg): 90.00 90.00 90.00
Last column: nearest neighbours and their distance in Å.
Fractional positions:
Mn (0.2500, 0.2500, 0.0019)  4 Zn 2.64-2.69, 4 Mn 2.82, 2 In 2.94
Mn (0.7500, 0.7500, 0.9981)  4 Zn 2.64-2.69, 4 Mn 2.82, 2 In 2.94
Zn (0.2500, 0.7500, 0.2612)  4 Mn 2.64-2.69, 5 In 2.80-2.85
Zn (0.7500, 0.2500, 0.7388)  4 Mn 2.64-2.69, 5 In 2.80-2.85
In (0.2500, 0.7500, 0.6738)  5 Zn 2.80-2.85, 4 Mn 2.94-3.02
In (0.7500, 0.2500, 0.3262)  5 Zn 2.80-2.85, 4 Mn 2.94-3.02